A plane-wave DFT calculation with GGA-PBE was carried out for a geometry-optimized Y2NiMo structure.

The structure in CIF format:
```
data_Y2NiMo
_cell_length_a 6.913
_cell_length_b 6.913
_cell_length_c 6.913
_cell_angle_alpha 90.00
_cell_angle_beta 90.00
_cell_angle_gamma 90.00
_symmetry_space_group_name_H-M 'P 1'
_symmetry_Int_Tables_number 1
_symmetry_space_group_name_Hall 'P 1'
loop_
_atom_site_label
_atom_site_type_symbol
_atom_site_fract_x
_atom_site_fract_y
_atom_site_fract_z
Y1 Y 0.250 0.250 0.250
Y2 Y 0.250 0.250 0.750
Y3 Y 0.250 0.750 0.250
Y4 Y 0.250 0.750 0.750
Y5 Y 0.750 0.250 0.250
Y6 Y 0.750 0.250 0.750
Y7 Y 0.750 0.750 0.250
Y8 Y 0.750 0.750 0.750
Ni1 Ni 0.000 0.000 0.000
Ni2 Ni 0.000 0.500 0.500
Ni3 Ni 0.500 0.000 0.500
Ni4 Ni 0.500 0.500 0.000
Mo1 Mo 0.000 0.000 0.500
Mo2 Mo 0.000 0.500 0.000
Mo3 Mo 0.500 0.000 0.000
Mo4 Mo 0.500 0.500 0.500
```

Values from the calculation:
DOS at the Fermi energy   1.327 states/eV per atom
Energy of formation from the pure elements   233 meV per atom
Symmetry   Fm-3m
Crystal system   cubic



A plane-wave DFT calculation with GGA-PBE was carried out for a geometry-optimized Dy2TmHf structure.

The structure in CIF format:
```
data_Dy2TmHf
_cell_length_a 3.977
_cell_length_b 3.977
_cell_length_c 7.174
_cell_angle_alpha 90.00
_cell_angle_beta 90.00
_cell_angle_gamma 90.00
_symmetry_space_group_name_H-M 'P 1'
_symmetry_Int_Tables_number 1
_symmetry_space_group_name_Hall 'P 1'
loop_
_atom_site_label
_atom_site_type_symbol
_atom_site_fract_x
_atom_site_fract_y
_atom_site_fract_z
Dy1 Dy 0.000 0.000 0.226
Dy2 Dy 0.000 0.000 0.774
Tm1 Tm 0.500 0.500 0.500
Hf1 Hf 0.500 0.500 0.000
```

Values from the calculation:
DOS at the Fermi energy   1.651 states/eV per atom
Energy of formation from the pure elements   216 meV per atom
Symmetry   P4/mmm
Crystal system   tetragonal



A plane-wave DFT calculation with GGA-PBE was carried out for a geometry-optimized SrNb2P2 structure.

The structure in CIF format:
```
data_SrNb2P2
_cell_length_a 7.668
_cell_length_b 7.668
_cell_length_c 3.170
_cell_angle_alpha 90.00
_cell_angle_beta 90.00
_cell_angle_gamma 90.00
_symmetry_space_group_name_H-M 'P 1'
_symmetry_Int_Tables_number 1
_symmetry_space_group_name_Hall 'P 1'
loop_
_atom_site_label
_atom_site_type_symbol
_atom_site_fract_x
_atom_site_fract_y
_atom_site_fract_z
Sr1 Sr 0.000 0.000 0.000
Sr2 Sr 0.500 0.500 0.000
Nb1 Nb 0.124 0.376 0.000
Nb2 Nb 0.376 0.876 0.000
Nb3 Nb 0.624 0.124 0.000
Nb4 Nb 0.876 0.624 0.000
P1 P 0.156 0.656 0.500
P2 P 0.344 0.156 0.500
P3 P 0.656 0.844 0.500
P4 P 0.844 0.344 0.500
```

Values from the calculation:
DOS at the Fermi energy   0.713 states/eV per atom
Energy of formation from the pure elements   -203 meV per atom
Symmetry   P4/mbm
Crystal system   tetragonal



A plane-wave DFT calculation with GGA-PBE was carried out for a geometry-optimized Pm3PuTl4Se8 structure.

The structure in CIF format:
```
data_Pm3PuTl4Se8
_cell_length_a 9.182
_cell_length_b 9.182
_cell_length_c 9.182
_cell_angle_alpha 55.65
_cell_angle_beta 55.65
_cell_angle_gamma 55.65
_symmetry_space_group_name_H-M 'P 1'
_symmetry_Int_Tables_number 1
_symmetry_space_group_name_Hall 'P 1'
loop_
_atom_site_label
_atom_site_type_symbol
_atom_site_fract_x
_atom_site_fract_y
_atom_site_fract_z
Pm1 Pm 0.000 0.500 0.500
Pm2 Pm 0.500 0.000 0.500
Pm3 Pm 0.500 0.500 0.000
Pu1 Pu 0.000 0.000 0.000
Tl1 Tl 0.000 0.000 0.500
Tl2 Tl 0.000 0.500 0.000
Tl3 Tl 0.500 0.000 0.000
Tl4 Tl 0.500 0.500 0.500
Se1 Se 0.235 0.235 0.739
Se2 Se 0.235 0.739 0.235
Se3 Se 0.261 0.765 0.765
Se4 Se 0.263 0.263 0.263
Se5 Se 0.737 0.737 0.737
Se6 Se 0.739 0.235 0.235
Se7 Se 0.765 0.261 0.765
Se8 Se 0.765 0.765 0.261
```

Values from the calculation:
DOS at the Fermi energy   0.796 states/eV per atom
E_form (uncorrected)   -20.90 eV/f.u.
Symmetry   R-3m
Crystal system   trigonal